Zr2BeNi | PBE-GGA | relaxed

Computed properties:
calculated volume = 69.0 Å³/f.u.
ρ = 6.0 g/cm³
formation energy = 0.369 eV per formula unit

The structure in CIF format:
```
data_Zr2BeNi
_cell_length_a 3.2328
_cell_length_b 3.2328
_cell_length_c 22.8845
_cell_angle_alpha 90.00
_cell_angle_beta 90.00
_cell_angle_gamma 120.00
_symmetry_space_group_name_H-M 'R -3 m'
_symmetry_Int_Tables_number 166
_symmetry_space_group_name_Hall '-R 3 2"'
loop_
_atom_site_label
_atom_site_type_symbol
_atom_site_fract_x
_atom_site_fract_y
_atom_site_fract_z
Zr1 Zr 0.0000 0.0000 0.2474
Be1 Be 0.0000 0.0000 0.5000
Ni1 Ni 0.0000 0.0000 0.0000
```

PrPtPb | PBE-GGA | relaxed

Computed properties:
calculated volume = 76.0 Å³/f.u.
ρ = 11.9 g/cm³
formation energy = -2.417 eV per formula unit

The structure in CIF format:
```
data_PrPtPb
_cell_length_a 14.2764
_cell_length_b 4.0023
_cell_length_c 7.9764
_cell_angle_alpha 90.00
_cell_angle_beta 90.00
_cell_angle_gamma 90.00
_symmetry_space_group_name_H-M 'P m m a'
_symmetry_Int_Tables_number 51
_symmetry_space_group_name_Hall '-P 2a 2a'
loop_
_atom_site_label
_atom_site_type_symbol
_atom_site_fract_x
_atom_site_fract_y
_atom_site_fract_z
Pr1 Pr 0.0508 0.0000 0.2210
Pr2 Pr 0.2500 0.0000 0.8358
Pt1 Pt 0.0921 0.5000 0.9286
Pt2 Pt 0.2500 0.0000 0.4354
Pb1 Pb 0.1188 0.5000 0.5610
Pb2 Pb 0.2500 0.5000 0.1754
```

Mn2AlRe | PBE-GGA | relaxed

Computed properties:
calculated volume = 50.3 Å³/f.u.
ρ = 10.7 g/cm³
formation energy = -0.666 eV per formula unit

The structure in CIF format:
```
data_Mn2AlRe
_cell_length_a 2.9353
_cell_length_b 2.9353
_cell_length_c 5.8375
_cell_angle_alpha 90.00
_cell_angle_beta 90.00
_cell_angle_gamma 90.00
_symmetry_space_group_name_H-M 'P 4/m m m'
_symmetry_Int_Tables_number 123
_symmetry_space_group_name_Hall '-P 4 2'
loop_
_atom_site_label
_atom_site_type_symbol
_atom_site_fract_x
_atom_site_fract_y
_atom_site_fract_z
Mn1 Mn 0.0000 0.0000 0.2459
Al1 Al 0.5000 0.5000 0.5000
Re1 Re 0.5000 0.5000 0.0000
```

CaPm2AlO | PBE-GGA | relaxed

Computed properties:
calculated volume = 115.2 Å³/f.u.
ρ = 5.4 g/cm³
VASP energy = -26.78 eV per cell

The structure in CIF format:
```
data_CaPm2AlO
_cell_length_a 4.9190
_cell_length_b 4.9190
_cell_length_c 4.7604
_cell_angle_alpha 90.00
_cell_angle_beta 90.00
_cell_angle_gamma 90.00
_symmetry_space_group_name_H-M 'P 4/m m m'
_symmetry_Int_Tables_number 123
_symmetry_space_group_name_Hall '-P 4 2'
loop_
_atom_site_label
_atom_site_type_symbol
_atom_site_fract_x
_atom_site_fract_y
_atom_site_fract_z
Ca1 Ca 0.0000 0.0000 0.0000
Pm1 Pm 0.0000 0.5000 0.5000
Al1 Al 0.5000 0.5000 0.0000
O1 O 0.0000 0.0000 0.5000
```

BaLaTb2 | PBE-GGA | relaxed

Computed properties:
calculated volume = 151.9 Å³/f.u.
ρ = 6.5 g/cm³
formation energy = 0.908 eV per formula unit

The structure in CIF format:
```
data_BaLaTb2
_cell_length_a 3.6684
_cell_length_b 3.6684
_cell_length_c 39.1001
_cell_angle_alpha 90.00
_cell_angle_beta 90.00
_cell_angle_gamma 120.00
_symmetry_space_group_name_H-M 'R -3 m'
_symmetry_Int_Tables_number 166
_symmetry_space_group_name_Hall '-R 3 2"'
loop_
_atom_site_label
_atom_site_type_symbol
_atom_site_fract_x
_atom_site_fract_y
_atom_site_fract_z
Ba1 Ba 0.0000 0.0000 0.0000
La1 La 0.0000 0.0000 0.5000
Tb1 Tb 0.0000 0.0000 0.0927
```

Ta5Ge2 | PBE-GGA | relaxed

Computed properties:
calculated volume = 124.6 Å³/f.u.
ρ = 14.0 g/cm³
formation energy = -0.724 eV per formula unit

The structure in CIF format:
```
data_Ta5Ge2
_cell_length_a 14.4204
_cell_length_b 5.2325
_cell_length_c 6.6245
_cell_angle_alpha 90.00
_cell_angle_beta 94.53
_cell_angle_gamma 90.00
_symmetry_space_group_name_H-M 'C 1 2/c 1'
_symmetry_Int_Tables_number 15
_symmetry_space_group_name_Hall '-C 2yc'
loop_
_atom_site_label
_atom_site_type_symbol
_atom_site_fract_x
_atom_site_fract_y
_atom_site_fract_z
Ta1 Ta 0.0000 0.1596 0.2500
Ta2 Ta 0.0958 0.3719 0.9325
Ta3 Ta 0.2298 0.1263 0.2921
Ge1 Ge 0.1091 0.1532 0.5738
```

Q: Which value of ρ does entry 4 give?
A: 5.4 g/cm³